No. 1
First-principles (GGA-PBE) data for a geometry-optimized Pm2YPdO6 structure, as listed in the Alexandria database.

Lattice parameters (Å, degrees): 5.961 5.707 6.139 61.07 58.72 60.16
Site moments in Bohr magnetons follow the coordinates.
Fractional coordinates of all 10 atoms:
1 Pm 0.528 0.545 0.396  0.00
2 Pm 0.020 0.033 0.912  0.00
3 Y 0.809 0.810 0.572  0.03
4 Pd 0.314 0.320 0.043  0.56
5 O 0.620 0.181 0.270  0.12
6 O 0.192 0.958 0.258  0.02
7 O 0.956 0.590 0.258  0.01
8 O 0.437 0.674 0.774  0.02
9 O 0.672 0.105 0.787  0.02
10 O 0.111 0.446 0.747  0.15

Values from the calculation:
- SG: P1, No. 1
- Uncorrected formation energy: -2.57 eV per atom
- Volume: 147.5 Å³ per cell
- Magnetic moment: 1.0 μB per cell

=====

No. 2
First-principles (GGA-PBE) data for a geometry-optimized TiTeBr3 structure, as listed in the Alexandria database.

Lattice parameters (Å, degrees): 6.800 10.798 10.798 97.07 82.03 82.03
Fractional coordinates of all 20 atoms:
1 Ti 0.250 0.179 0.821
2 Ti 0.750 0.821 0.179
3 Ti 0.250 0.685 0.315
4 Ti 0.750 0.315 0.685
5 Te 0.899 0.585 0.253
6 Te 0.601 0.747 0.415
7 Te 0.101 0.415 0.747
8 Te 0.399 0.253 0.585
9 Br 0.541 0.286 0.900
10 Br 0.959 0.100 0.714
11 Br 0.459 0.714 0.100
12 Br 0.041 0.900 0.286
13 Br 0.933 0.780 0.969
14 Br 0.567 0.031 0.220
15 Br 0.067 0.220 0.031
16 Br 0.433 0.969 0.780
17 Br 0.382 0.462 0.271
18 Br 0.118 0.729 0.538
19 Br 0.618 0.538 0.729
20 Br 0.882 0.271 0.462

Values from the calculation:
- SG: C2/c, No. 15
- Uncorrected formation energy: -0.93 eV per atom
- Volume: 769.5 Å³ per cell
- Magnetic moment: 0.0 μB per cell

=====

No. 3
First-principles (GGA-PBE) data for a geometry-optimized AsP2Cl structure, as listed in the Alexandria database.

Lattice parameters (Å, degrees): 9.528 9.528 9.528 19.62 19.62 19.62
Fractional coordinates of all 4 atoms:
1 As 0.496 0.496 0.496
2 Cl 0.760 0.760 0.760
3 P 0.977 0.977 0.977
4 P 0.266 0.266 0.266

Values from the calculation:
- SG: R3m, No. 160
- Uncorrected formation energy: 0.22 eV per atom
- Volume: 85.3 Å³ per cell
- Magnetic moment: 0.0 μB per cell

=====

No. 4
First-principles (GGA-PBE) data for a geometry-optimized Zr2FeHgRh structure, as listed in the Alexandria database.

Lattice parameters (Å, degrees): 4.787 4.500 4.787 90.00 90.00 90.00
Fractional coordinates of all 5 atoms:
1 Rh 0.000 0.500 0.000
2 Hg 0.500 0.500 0.500
3 Zr 0.000 0.000 0.500
4 Zr 0.500 0.000 0.000
5 Fe 0.000 0.000 0.000

Values from the calculation:
- E_tot: -6.441 eV per atom
- SG: P4/mmm, No. 123
- Volume: 103.1 Å³ per cell
- Magnetic moment: 0.0 μB per cell

=====

No. 5
First-principles (GGA-PBE) data for a geometry-optimized RbMn4 structure, as listed in the Alexandria database.

Lattice parameters (Å, degrees): 4.937 4.937 4.937 90.00 90.00 90.00
Site moments in Bohr magnetons follow the coordinates.
Fractional coordinates of all 5 atoms:
1 Mn 0.000 0.000 0.000  4.21
2 Mn 0.500 0.000 0.500  3.75
3 Mn 0.000 0.500 0.500  3.75
4 Mn 0.500 0.500 0.000  3.75
5 Rb 0.500 0.500 0.500  0.03

Values from the calculation:
- E_tot: -5.062 eV per atom
- SG: Pm-3m, No. 221
- Volume: 120.3 Å³ per cell
- Magnetic moment: 16.0 μB per cell

=====

No. 6
First-principles (GGA-PBE) data for a geometry-optimized MnTl2CuS4 structure, as listed in the Alexandria database.

Lattice parameters (Å, degrees): 6.919 6.910 6.354 123.00 123.08 89.86
Site moments in Bohr magnetons follow the coordinates.
Fractional coordinates of all 8 atoms:
1 Mn 0.986 0.486 0.971  1.99
2 Tl 0.487 0.987 0.974  0.01
3 Tl 0.238 0.238 0.477  0.00
4 Cu 0.736 0.736 0.471  -0.06
5 S 0.713 0.570 0.689  -0.04
6 S 0.900 0.494 0.252  -0.04
7 S 0.351 0.758 0.252  -0.04
8 S 0.976 0.119 0.689  -0.04

Values from the calculation:
- SG: C2, No. 5
- Uncorrected formation energy: -0.35 eV per atom
- Volume: 193.8 Å³ per cell
- Magnetic moment: 2.0 μB per cell

=====

No. 7
First-principles (GGA-PBE) data for a geometry-optimized AlHgAs structure, as listed in the Alexandria database.

Lattice parameters (Å, degrees): 6.850 6.594 3.300 80.14 71.52 28.33
Fractional coordinates of all 3 atoms:
1 As 0.359 0.359 0.641
2 Hg 0.655 0.655 0.345
3 Al 0.986 0.986 0.014

Values from the calculation:
- E_tot: -2.723 eV per atom
- SG: Fmm2, No. 42
- Volume: 65.1 Å³ per cell
- Magnetic moment: 0.0 μB per cell

=====

No. 8
First-principles (GGA-PBE) data for a geometry-optimized Ho2Ni12P3Au structure, as listed in the Alexandria database.

Lattice parameters (Å, degrees): 6.285 6.285 6.285 85.93 85.93 85.93
Fractional coordinates of all 18 atoms:
1 Ho 0.702 0.702 0.702
2 Ho 0.298 0.298 0.298
3 Ni 0.395 0.395 0.874
4 Ni 0.812 0.812 0.318
5 Ni 0.318 0.812 0.812
6 Ni 0.874 0.395 0.395
7 Ni 0.812 0.318 0.812
8 Ni 0.395 0.874 0.395
9 Ni 0.605 0.605 0.126
10 Ni 0.188 0.188 0.682
11 Ni 0.682 0.188 0.188
12 Ni 0.126 0.605 0.605
13 Ni 0.188 0.682 0.188
14 Ni 0.605 0.126 0.605
15 P 0.500 0.000 0.000
16 P 0.000 0.500 0.000
17 P 0.000 0.000 0.500
18 Au 0.000 0.000 0.000

Values from the calculation:
- E_tot: -5.552 eV per atom
- SG: R-3m, No. 166
- Volume: 246.5 Å³ per cell
- Magnetic moment: 0.0 μB per cell